Compound: PmErV2O8
Source: the Alexandria database
Functional: GGA+U
Structure: optimized geometry

Lattice parameters (Å, degrees): 7.2743 7.2743 6.3900 90.00 90.00 90.00
Last column: nearest neighbours and their distance in Å.
Space group I-4m2 (No. 119)
Inequivalent atoms, fractional coordinates:
Pm  0.0000  0.0000  0.0000 (multiplicity 2)  8 O 2.37-2.50
Er  0.0000  0.5000  0.2500 (multiplicity 2)  8 O 2.33-2.44
V  0.0000  0.0000  0.5000 (multiplicity 2)  4 O 1.74
V  0.0000  0.5000  0.7500 (multiplicity 2)  4 O 1.74
O  0.0000  0.1866  0.3288 (multiplicity 8)  1 V 1.74
O  0.0000  0.3197  0.9284 (multiplicity 8)  1 V 1.74

## Properties
Calculated volume, Å³/atom: 14.09
Mass density, g/cm3: 5.3
Calculated total energy, eV per atom: -8.050